The following is a DFT calculation (SCAN) of ReSi2Ag at its PBEsol-relaxed geometry.

Values from the calculation:
Excess energy over the best structure of this formula in the dataset, meV/atom: 167
DOS at the Fermi energy, states/eV/cell: 1.962
Density, Mg/m³: 9.808

Cell lengths 2.8217, 5.0245, 5.0245 Å; angles 110.41, 105.20, 105.20 degrees
Fractional coordinates of all 4 atoms:
Re  0.0000  0.5000  0.5000
Ag  0.0000  0.0000  0.0000
Si  0.0000  0.5000  0.0000
Si  0.0000  0.0000  0.5000